{"formula": "Sr2CdIN", "functional": "PBE-GGA", "state": "optimized geometry", "lattice": [[5.213, 0.000, 0.000], [0.000, 5.213, 0.000], [0.000, 0.000, 5.446]], "species": ["Sr", "Sr", "Cd", "I", "N"], "fractional_positions": [[0.000, 0.500, 0.000], [0.500, 0.000, 0.000], [0.000, 0.000, 0.500], [0.500, 0.500, 0.500], [0.500, 0.500, 0.000]], "crystal_system": "tetragonal", "raw_formation_energy_ev_per_atom": -0.281}

=====

{"formula": "ScSi3Os3", "functional": "PBE-GGA", "state": "optimized geometry", "lattice": [[6.501, 0.000, 0.000], [0.000, 6.501, 0.000], [0.000, 0.000, 6.501]], "species": ["Sc", "Sc", "Si", "Si", "Si", "Si", "Si", "Si", "Os", "Os", "Os", "Os", "Os", "Os"], "fractional_positions": [[0.000, 0.000, 0.000], [0.500, 0.500, 0.500], [0.000, 0.250, 0.500], [0.000, 0.750, 0.500], [0.250, 0.500, 0.000], [0.500, 0.000, 0.250], [0.500, 0.000, 0.750], [0.750, 0.500, 0.000], [0.000, 0.500, 0.250], [0.000, 0.500, 0.750], [0.250, 0.000, 0.500], [0.500, 0.250, 0.000], [0.500, 0.750, 0.000], [0.750, 0.000, 0.500]], "crystal_system": "cubic", "raw_formation_energy_ev_per_atom": 0.296}

=====

{"formula": "CeScGa4", "functional": "PBE-GGA", "state": "optimized geometry", "lattice": [[4.386, 0.000, 0.000], [-2.193, 3.798, 0.000], [0.000, 0.000, 7.100]], "species": ["Ce", "Sc", "Ga", "Ga", "Ga", "Ga"], "fractional_positions": [[0.000, 0.000, 0.000], [0.000, 0.000, 0.500], [0.333, 0.667, 0.273], [0.333, 0.667, 0.727], [0.667, 0.333, 0.273], [0.667, 0.333, 0.727]], "ef_ev_per_atom": -0.57, "de_polymorph_ev_per_atom": 0.0000, "crystal_system": "hexagonal"}

=====

{"formula": "Nd5Ho4Sc4", "functional": "PBE-GGA", "state": "optimized geometry", "lattice": [[-6.321, 6.321, 2.475], [6.321, -6.321, 2.475], [6.321, 6.321, -2.475]], "species": ["Nd", "Nd", "Nd", "Nd", "Nd", "Ho", "Ho", "Ho", "Ho", "Sc", "Sc", "Sc", "Sc"], "fractional_positions": [[0.000, 0.000, 0.000], [0.305, 0.543, 0.848], [0.457, 0.305, 0.762], [0.543, 0.695, 0.238], [0.695, 0.457, 0.152], [0.078, 0.384, 0.461], [0.384, 0.922, 0.306], [0.616, 0.078, 0.694], [0.922, 0.616, 0.539], [0.156, 0.766, 0.922], [0.234, 0.156, 0.390], [0.766, 0.844, 0.610], [0.844, 0.234, 0.078]], "ef_ev_per_atom": 0.05, "crystal_system": "tetragonal"}

=====

{"formula": "Sr2CrFe", "functional": "PBE-GGA", "state": "optimized geometry", "lattice": [[3.880, 0.000, 0.000], [0.000, 3.891, 0.000], [0.000, 0.000, 7.848]], "species": ["Sr", "Sr", "Cr", "Fe"], "fractional_positions": [[0.000, 0.000, 0.235], [0.000, 0.000, 0.765], [0.500, 0.500, 0.500], [0.500, 0.500, 0.000]], "ef_ev_per_atom": 0.85, "de_polymorph_ev_per_atom": 0.2895, "crystal_system": "orthorhombic"}

=====

{"formula": "RbBiTe3", "functional": "PBE-GGA", "state": "optimized geometry", "lattice": [[6.051, 0.000, 0.000], [0.000, 6.051, 0.000], [0.000, 0.000, 6.051]], "species": ["Rb", "Bi", "Te", "Te", "Te"], "fractional_positions": [[0.000, 0.000, 0.000], [0.500, 0.500, 0.500], [0.000, 0.500, 0.500], [0.500, 0.000, 0.500], [0.500, 0.500, 0.000]], "de_polymorph_ev_per_atom": 0.2215, "crystal_system": "cubic", "raw_formation_energy_ev_per_atom": -0.138}

=====

Repeat the third record exactly.
{"formula": "CeScGa4", "functional": "PBE-GGA", "state": "optimized geometry", "lattice": [[4.386, 0.000, 0.000], [-2.193, 3.798, 0.000], [0.000, 0.000, 7.100]], "species": ["Ce", "Sc", "Ga", "Ga", "Ga", "Ga"], "fractional_positions": [[0.000, 0.000, 0.000], [0.000, 0.000, 0.500], [0.333, 0.667, 0.273], [0.333, 0.667, 0.727], [0.667, 0.333, 0.273], [0.667, 0.333, 0.727]], "ef_ev_per_atom": -0.57, "de_polymorph_ev_per_atom": 0.0000, "crystal_system": "hexagonal"}

=====

What is the formula in the second record?
ScSi3Os3